Record 1
Nd4SeCl5 | PBE | relaxed

The density of states at the Fermi level comes out at 6.431 states/eV/cell.

The space group is C2/m (No. 12) and the conventional cell measures 18.168, 4.005 and 8.418 Å, with angles of 90.00, 105.37 and 90.00 degrees. The distinct sites, in fractional coordinates, are Nd at (0.002, 0.000, 0.266), Nd at (0.158, 0.500, 0.585), Se at (0.000, 0.500, 0.500), Cl at (0.000, 0.500, 0.000), Cl at (0.162, 0.000, 0.833) and Cl at (0.174, 0.000, 0.338).


Record 2
NdSe6Cl12 | PBE | relaxed

The density of states at the Fermi level comes out at 30.615 states/eV/cell.

The space group is R-3 (No. 148, hexagonal axes) and the conventional cell measures 8.3299, 8.3299 and 35.8221 Å, with angles of 90.00, 90.00 and 120.00 degrees. The distinct sites, in fractional coordinates, are Nd at (0.0000, 0.0000, 0.0000), Se at (0.0634, 0.8644, 0.7495), Cl at (0.0149, 0.3760, 0.8663) and Cl at (0.0418, 0.4233, 0.7108).


Number 1: raw formation energy -1.852 eV per atom, VASP energy -100.6 eV/cell, total magnetic moment 0.00 μB/f.u.. Number 2: raw formation energy -0.537 eV per atom, VASP energy -174.1 eV/cell, total magnetic moment 0.00 μB/f.u..